LaAsWBr2 | the Alexandria database | GGA-PBEsol | relaxed; V = 36.636 Å³ per atom; formation energy from raw total energies = 0.78 eV/atom; N(E_F) = 4.35 states/eV/f.u.; final energy = -4.819 eV per atom
1.0
5.545 0.000 0.000
0.000 5.545 0.000
0.000 0.000 5.957
La As W Br
1 1 1 2
Direct
0.000 0.000 0.000
0.000 0.000 0.500
0.500 0.500 0.500
0.000 0.500 0.000
0.500 0.000 0.000